# 1
Density functional theory data (PBE) for an optimized crystal structure of Y2ScCo.

abc: 3.5980 3.5980 27.3537
angles: 90.00 90.00 120.00
Sites, in units of the cell vectors:
1 Y 0.0000 0.0000 0.2282
2 Y 0.0000 0.0000 0.7718
3 Y 0.3333 0.6667 0.4384
4 Y 0.3333 0.6667 0.8949
5 Y 0.6667 0.3333 0.1051
6 Y 0.6667 0.3333 0.5616
7 Sc 0.0000 0.0000 0.0000
8 Sc 0.3333 0.6667 0.6667
9 Sc 0.6667 0.3333 0.3333
10 Co 0.0000 0.0000 0.5000
11 Co 0.3333 0.6667 0.1667
12 Co 0.6667 0.3333 0.8333

## Properties
energy above the most stable polymorph in this dataset: 271 meV per atom
volume: 307 Å³ per cell
ΔE_f: 107 meV per atom

=====

# 2
Density functional theory data (PBE) for an optimized crystal structure of YSc2Co.

abc: 6.9035 6.9035 6.9035
angles: 90.00 90.00 90.00
Sites, in units of the cell vectors:
1 Y 0.0000 0.0000 0.0000
2 Y 0.0000 0.5000 0.5000
3 Y 0.5000 0.0000 0.5000
4 Y 0.5000 0.5000 0.0000
5 Sc 0.2500 0.2500 0.2500
6 Sc 0.2500 0.2500 0.7500
7 Sc 0.2500 0.7500 0.2500
8 Sc 0.2500 0.7500 0.7500
9 Sc 0.7500 0.2500 0.2500
10 Sc 0.7500 0.2500 0.7500
11 Sc 0.7500 0.7500 0.2500
12 Sc 0.7500 0.7500 0.7500
13 Co 0.0000 0.0000 0.5000
14 Co 0.0000 0.5000 0.0000
15 Co 0.5000 0.0000 0.0000
16 Co 0.5000 0.5000 0.5000

## Properties
energy above the most stable polymorph in this dataset: 422 meV per atom
volume: 329 Å³ per cell
ΔE_f: 231 meV per atom

=====

# 3
Density functional theory data (PBE) for an optimized crystal structure of Y2Sc2Co.

abc: 6.6275 6.6275 6.9376
angles: 103.52 103.52 114.61
Sites, in units of the cell vectors:
1 Y 0.1888 0.7433 0.7464
2 Y 0.2567 0.8112 0.2536
3 Y 0.7433 0.1888 0.7464
4 Y 0.8112 0.2567 0.2536
5 Sc 0.2435 0.2435 0.6116
6 Sc 0.2677 0.2677 0.1145
7 Sc 0.7323 0.7323 0.8855
8 Sc 0.7565 0.7565 0.3884
9 Co 0.3921 0.6079 0.5000
10 Co 0.6079 0.3921 0.5000

## Properties
energy above the most stable polymorph in this dataset: 0 meV per atom
volume: 250 Å³ per cell
ΔE_f: -69 meV per atom